Version A
## MnNi2Ag (PBE)

Data for crystalline MnNi2Ag at its relaxed geometry.

```
data_MnNi2Ag
_chemical_formula_sum 'Mn4 Ni8 Ag4'
_cell_length_a 5.9741
_cell_length_b 5.9741
_cell_length_c 5.9741
_cell_angle_alpha 90.00
_cell_angle_beta 90.00
_cell_angle_gamma 90.00
_symmetry_space_group_name_H-M 'F m -3 m'
_symmetry_Int_Tables_number 225
_symmetry_space_group_name_Hall '-F 4 2 3'
loop_
_atom_site_label
_atom_site_fract_x
_atom_site_fract_y
_atom_site_fract_z
Mn1 0.0000 0.0000 0.0000
Ni1 0.2500 0.2500 0.2500
Ag1 0.0000 0.0000 0.5000
```

Results
Theoretical density (Mg/m³): 8.73
DOS(E_F) (states/eV/f.u.): 1.7

Version B
## MnNi2Ag (PBE)

Data for crystalline MnNi2Ag at its relaxed geometry.

```
data_MnNi2Ag
_chemical_formula_sum 'Mn2 Ni4 Ag2'
_cell_length_a 8.9069
_cell_length_b 2.8123
_cell_length_c 4.4457
_cell_angle_alpha 90.00
_cell_angle_beta 105.13
_cell_angle_gamma 90.00
_symmetry_space_group_name_H-M 'C 1 m 1'
_symmetry_Int_Tables_number 8
_symmetry_space_group_name_Hall 'C -2y'
loop_
_atom_site_label
_atom_site_fract_x
_atom_site_fract_y
_atom_site_fract_z
Mn1 0.0000 0.0000 0.0000
Ni1 0.2432 0.5000 0.2168
Ni2 0.4772 0.0000 0.4589
Ag1 0.2343 0.0000 0.7073
```

Results
Theoretical density (Mg/m³): 8.66
DOS(E_F) (states/eV/f.u.): 3.7

Which of them is the most stable, and which is the least stable? version A and version B, in that order.

Version A
## Mn2NiAg2 (PBE)

Data for crystalline Mn2NiAg2 at its relaxed geometry.

```
data_Mn2NiAg2
_chemical_formula_sum 'Mn4 Ni2 Ag4'
_cell_length_a 3.0839
_cell_length_b 3.0839
_cell_length_c 15.4697
_cell_angle_alpha 90.00
_cell_angle_beta 90.00
_cell_angle_gamma 90.00
_symmetry_space_group_name_H-M 'I 4/m m m'
_symmetry_Int_Tables_number 139
_symmetry_space_group_name_Hall '-I 4 2'
loop_
_atom_site_label
_atom_site_fract_x
_atom_site_fract_y
_atom_site_fract_z
Mn1 0.0000 0.5000 0.2500
Ni1 0.0000 0.0000 0.0000
Ag1 0.0000 0.0000 0.3996
```

Results
Theoretical density (Mg/m³): 8.68
DOS(E_F) (states/eV/f.u.): 6.0

Version B
## Mn2NiAg2 (PBE)

Data for crystalline Mn2NiAg2 at its relaxed geometry.

```
data_Mn2NiAg2
_chemical_formula_sum 'Mn4 Ni2 Ag4'
_cell_length_a 7.2878
_cell_length_b 7.2878
_cell_length_c 3.1151
_cell_angle_alpha 90.00
_cell_angle_beta 90.00
_cell_angle_gamma 90.00
_symmetry_space_group_name_H-M 'P 4/m b m'
_symmetry_Int_Tables_number 127
_symmetry_space_group_name_Hall '-P 4 2ab'
loop_
_atom_site_label
_atom_site_fract_x
_atom_site_fract_y
_atom_site_fract_z
Mn1 0.1672 0.3328 0.0000
Ni1 0.0000 0.0000 0.5000
Ag1 0.1343 0.6343 0.5000
```

Results
Theoretical density (Mg/m³): 7.71
DOS(E_F) (states/eV/f.u.): 3.7

Which of them is the most stable, and which is the least stable? version B and version A, in that order.

Version A
## Mn2Ni2Ag (PBE)

Data for crystalline Mn2Ni2Ag at its relaxed geometry.

```
data_Mn2Ni2Ag
_chemical_formula_sum 'Mn4 Ni4 Ag2'
_cell_length_a 7.0147
_cell_length_b 7.0147
_cell_length_c 2.5583
_cell_angle_alpha 90.00
_cell_angle_beta 90.00
_cell_angle_gamma 90.00
_symmetry_space_group_name_H-M 'P 4/m b m'
_symmetry_Int_Tables_number 127
_symmetry_space_group_name_Hall '-P 4 2ab'
loop_
_atom_site_label
_atom_site_fract_x
_atom_site_fract_y
_atom_site_fract_z
Mn1 0.1020 0.3980 0.0000
Ni1 0.1864 0.6864 0.5000
Ag1 0.0000 0.0000 0.0000
```

Results
Theoretical density (Mg/m³): 8.84
DOS(E_F) (states/eV/f.u.): 7.0

Version B
## Mn2Ni2Ag (PBE)

Data for crystalline Mn2Ni2Ag at its relaxed geometry.

```
data_Mn2Ni2Ag
_chemical_formula_sum 'Mn4 Ni4 Ag2'
_cell_length_a 6.9981
_cell_length_b 6.9981
_cell_length_c 2.7900
_cell_angle_alpha 90.00
_cell_angle_beta 90.00
_cell_angle_gamma 90.00
_symmetry_space_group_name_H-M 'P 4/m b m'
_symmetry_Int_Tables_number 127
_symmetry_space_group_name_Hall '-P 4 2ab'
loop_
_atom_site_label
_atom_site_fract_x
_atom_site_fract_y
_atom_site_fract_z
Mn1 0.1610 0.3390 0.0000
Ni1 0.1318 0.6318 0.5000
Ag1 0.0000 0.0000 0.5000
```

Results
Theoretical density (Mg/m³): 8.15
DOS(E_F) (states/eV/f.u.): 3.1

Which of them is the most stable, and which is the least stable? version B and version A, in that order.

Version A
## MnNiAg3 (PBE)

Data for crystalline MnNiAg3 at its relaxed geometry.

```
data_MnNiAg3
_chemical_formula_sum 'Mn1 Ni1 Ag3'
_cell_length_a 4.7507
_cell_length_b 4.7507
_cell_length_c 4.7507
_cell_angle_alpha 90.00
_cell_angle_beta 90.00
_cell_angle_gamma 90.00
_symmetry_space_group_name_H-M 'P m -3 m'
_symmetry_Int_Tables_number 221
_symmetry_space_group_name_Hall '-P 4 2 3'
loop_
_atom_site_label
_atom_site_fract_x
_atom_site_fract_y
_atom_site_fract_z
Mn1 0.0000 0.0000 0.0000
Ni1 0.5000 0.5000 0.5000
Ag1 0.0000 0.5000 0.5000
```

Results
Theoretical density (Mg/m³): 6.77
DOS(E_F) (states/eV/f.u.): 2.8

Version B
## MnNiAg3 (PBE)

Data for crystalline MnNiAg3 at its relaxed geometry.

```
data_MnNiAg3
_chemical_formula_sum 'Mn1 Ni1 Ag3'
_cell_length_a 4.7407
_cell_length_b 4.7407
_cell_length_c 4.7407
_cell_angle_alpha 90.00
_cell_angle_beta 90.00
_cell_angle_gamma 90.00
_symmetry_space_group_name_H-M 'P m -3 m'
_symmetry_Int_Tables_number 221
_symmetry_space_group_name_Hall '-P 4 2 3'
loop_
_atom_site_label
_atom_site_fract_x
_atom_site_fract_y
_atom_site_fract_z
Mn1 0.0000 0.0000 0.0000
Ni1 0.5000 0.5000 0.5000
Ag1 0.0000 0.0000 0.5000
```

Results
Theoretical density (Mg/m³): 6.81
DOS(E_F) (states/eV/f.u.): 19.1

Which of them is the most stable, and which is the least stable? version A and version B, in that order.

Version A
## MnNiAgW2 (PBE)

Data for crystalline MnNiAgW2 at its relaxed geometry.

```
data_MnNiAgW2
_chemical_formula_sum 'Mn1 Ni1 Ag1 W2'
_cell_length_a 4.3754
_cell_length_b 4.3754
_cell_length_c 4.7448
_cell_angle_alpha 90.00
_cell_angle_beta 90.00
_cell_angle_gamma 90.00
_symmetry_space_group_name_H-M 'P 4/m m m'
_symmetry_Int_Tables_number 123
_symmetry_space_group_name_Hall '-P 4 2'
loop_
_atom_site_label
_atom_site_fract_x
_atom_site_fract_y
_atom_site_fract_z
Mn1 0.0000 0.0000 0.0000
Ni1 0.5000 0.5000 0.5000
Ag1 0.0000 0.0000 0.5000
W1 0.0000 0.5000 0.0000
```

Results
Theoretical density (Mg/m³): 10.77
DOS(E_F) (states/eV/f.u.): 7.2

Version B
## MnNiAgW2 (PBE)

Data for crystalline MnNiAgW2 at its relaxed geometry.

```
data_MnNiAgW2
_chemical_formula_sum 'Mn1 Ni1 Ag1 W2'
_cell_length_a 4.7568
_cell_length_b 4.7568
_cell_length_c 4.4683
_cell_angle_alpha 90.00
_cell_angle_beta 90.00
_cell_angle_gamma 90.00
_symmetry_space_group_name_H-M 'P 4/m m m'
_symmetry_Int_Tables_number 123
_symmetry_space_group_name_Hall '-P 4 2'
loop_
_atom_site_label
_atom_site_fract_x
_atom_site_fract_y
_atom_site_fract_z
Mn1 0.0000 0.0000 0.0000
Ni1 0.5000 0.5000 0.0000
Ag1 0.0000 0.0000 0.5000
W1 0.0000 0.5000 0.5000
```

Results
Theoretical density (Mg/m³): 9.68
DOS(E_F) (states/eV/f.u.): 8.3

Which of them is the most stable, and which is the least stable? version A and version B, in that order.